1.
DFT (GGA-PBE) results for a geometry-optimized SrHfMo structure.

Results
The space group is No. 216.

POSCAR file:
```
SrHfMo
1.0
0.0000 3.4136 3.4136
3.4136 0.0000 3.4136
3.4136 3.4136 0.0000
Sr Hf Mo
1 1 1
Cartesian
0.0000 0.0000 0.0000 Sr
3.4136 3.4136 3.4136 Hf
5.1205 5.1205 5.1205 Mo
```

2.
DFT (GGA-PBE) results for a geometry-optimized SrHfMo structure.

Results
The space group is No. 216.

POSCAR file:
```
SrHfMo
1.0
0.0000 3.4917 3.4917
3.4917 0.0000 3.4917
3.4917 3.4917 0.0000
Sr Hf Mo
1 1 1
Cartesian
0.0000 0.0000 0.0000 Sr
5.2375 5.2375 5.2375 Hf
1.7458 1.7458 1.7458 Mo
```

Which one sits at the top of the stability order? 1 does.

1.
DFT (GGA-PBE) results for a geometry-optimized HfTcMo structure.

Results
The space group is No. 216.

POSCAR file:
```
HfTcMo
1.0
0.0000 3.0891 3.0891
3.0891 0.0000 3.0891
3.0891 3.0891 0.0000
Hf Tc Mo
1 1 1
Cartesian
0.0000 0.0000 0.0000 Hf
1.5446 1.5446 1.5446 Tc
3.0891 3.0891 3.0891 Mo
```

2.
DFT (GGA-PBE) results for a geometry-optimized HfTcMo structure.

Results
The space group is No. 216.

POSCAR file:
```
HfTcMo
1.0
0.0000 3.1013 3.1013
3.1013 0.0000 3.1013
3.1013 3.1013 0.0000
Hf Tc Mo
1 1 1
Cartesian
0.0000 0.0000 0.0000 Hf
1.5507 1.5507 1.5507 Tc
4.6520 4.6520 4.6520 Mo
```

Which one sits at the top of the stability order? 1 does.